[1]
{
  "formula": "Ti2Pd5",
  "functional": "PBE-GGA",
  "state": "relaxed",
  "lattice": [[-3.344, -3.342, 0.423], [2.528, -3.282, -5.942], [5.377, -1.527, 3.808]],
  "species": ["Ti", "Ti", "Ti", "Ti", "Pd", "Pd", "Pd", "Pd", "Pd", "Pd", "Pd", "Pd", "Pd", "Pd"],
  "fractional_positions": [[0.222, 0.397, 0.828], [0.394, 0.103, 0.172], [0.778, 0.603, 0.172], [0.606, 0.897, 0.828], [0.316, 0.457, 0.257], [0.060, 0.043, 0.743], [0.112, 0.680, 0.575], [0.536, 0.820, 0.425], [0.888, 0.320, 0.425], [0.464, 0.180, 0.575], [0.940, 0.957, 0.257], [0.684, 0.543, 0.743], [0.794, 0.250, 0.000], [0.206, 0.750, 0.000]],
  "final_energy_ev_per_fu": -45.59
}

---

[2]
{
  "formula": "Li8Sn6Pd",
  "functional": "PBE-GGA",
  "state": "relaxed",
  "lattice": [[8.062, 0.000, 0.000], [4.031, 6.982, 0.000], [4.031, 2.327, 5.812]],
  "species": ["Li", "Li", "Li", "Li", "Li", "Li", "Li", "Li", "Sn", "Sn", "Sn", "Sn", "Sn", "Sn", "Pd"],
  "fractional_positions": [[0.553, 0.210, 0.355], [0.790, 0.118, 0.645], [0.118, 0.447, 0.645], [0.669, 0.669, 0.992], [0.331, 0.331, 0.008], [0.882, 0.553, 0.355], [0.210, 0.882, 0.355], [0.447, 0.790, 0.645], [0.379, 0.052, 0.847], [0.948, 0.278, 0.153], [0.278, 0.621, 0.153], [0.722, 0.379, 0.847], [0.052, 0.722, 0.847], [0.621, 0.948, 0.153], [0.000, 0.000, 0.000]],
  "final_energy_ev_per_fu": -48.99
}

---

[3]
{
  "formula": "Hg2AsW",
  "functional": "PBE-GGA",
  "state": "relaxed",
  "lattice": [[-5.133, 7.484, 3.746], [-7.382, 5.403, 3.565], [-5.528, 5.450, 6.010]],
  "species": ["As", "Hg", "Hg", "W"],
  "fractional_positions": [[0.750, 0.750, 0.750], [0.997, 0.997, 0.997], [0.503, 0.503, 0.503], [0.250, 0.250, 0.250]],
  "final_energy_ev_per_fu": -15.26
}

---

Number 1: formation energy -0.55 eV/atom. Number 2: formation energy -0.30 eV/atom. Number 3: formation energy 0.74 eV/atom.